[1]
# Pm2ReGe5

Pm2ReGe5 after structural relaxation (GGA-PBE, the Alexandria database).

abc: 6.153 6.153 6.284
angles: 119.32 119.32 90.00
Fractional positions:
1 Ge 0.722 0.295 0.017
2 Ge 0.295 0.295 0.017
3 Ge 0.722 0.722 0.017
4 Ge 0.724 0.724 0.448
5 Ge 0.295 0.722 0.017
6 Re 0.991 0.991 0.982
7 Pm 0.764 0.264 0.529
8 Pm 0.264 0.764 0.529

Values from the calculation:
formation energy	-0.28	eV/atom
size of the total moment	0.00	μB per cell
SG	I4mm, No. 107

***

[2]
# LaYMn3

LaYMn3 after structural relaxation (GGA-PBE, the Alexandria database).

abc: 5.085 5.085 5.085
angles: 90.00 90.00 90.00
Each line ends with the local moment (μB).
Fractional positions:
1 Mn 0.000 0.500 0.000  3.61
2 Mn 0.500 0.000 0.000  3.80
3 Mn 0.000 0.000 0.500  3.23
4 Y 0.000 0.000 0.000  -0.38
5 La 0.500 0.500 0.500  -0.17

Values from the calculation:
formation energy	1.02	eV/atom
offset from the most stable computed form	0.0	meV/atom
size of the total moment	10.17	μB per cell
SG	Pm-3m, No. 221

***

[3]
# YZr2HPb

YZr2HPb after structural relaxation (GGA-PBE, the Alexandria database).

abc: 4.543 4.543 4.808
angles: 90.00 90.00 90.00
Fractional positions:
1 Zr 0.000 0.500 0.000
2 Zr 0.500 0.000 0.000
3 H 0.000 0.000 0.000
4 Pb 0.500 0.500 0.500
5 Y 0.000 0.000 0.500

Values from the calculation:
calculated total energy	-6.4188	eV/atom
size of the total moment	0.00	μB per cell
SG	P4/mmm, No. 123

***

[4]
# Ti5VGe5

Ti5VGe5 after structural relaxation (GGA-PBE, the Alexandria database).

abc: 5.099 6.239 7.234
angles: 107.63 90.00 114.12
Fractional positions:
1 V 0.000 0.000 0.000
2 Ge 0.500 0.000 0.000
3 Ge 0.835 0.670 0.671
4 Ge 0.166 0.332 0.841
5 Ge 0.834 0.668 0.159
6 Ge 0.165 0.330 0.329
7 Ti 0.339 0.679 0.175
8 Ti 0.326 0.651 0.668
9 Ti 0.661 0.321 0.825
10 Ti 0.674 0.349 0.332
11 Ti 0.000 0.000 0.500

Values from the calculation:
formation energy	-0.21	eV/atom
size of the total moment	0.00	μB per cell
SG	C2/m, No. 12

***

[5]
# YCdS2

YCdS2 after structural relaxation (GGA-PBE, the Alexandria database).

abc: 6.334 6.334 7.509
angles: 65.05 65.05 90.00
Fractional positions:
1 Cd 0.000 0.000 0.000
2 Cd 0.750 0.250 0.500
3 S 0.375 0.393 0.750
4 S 0.607 0.125 0.250
5 S 0.875 0.857 0.750
6 S 0.143 0.625 0.250
7 Y 0.250 0.750 0.500
8 Y 0.500 0.500 0.000

Values from the calculation:
calculated total energy	-4.9410	eV/atom
size of the total moment	0.00	μB per cell
SG	I-42d, No. 122

***

[6]
# Er2Ga4PtRh3

Er2Ga4PtRh3 after structural relaxation (GGA-PBE, the Alexandria database).

abc: 4.179 4.179 10.334
angles: 90.00 90.00 90.00
Fractional positions:
1 Er 0.000 0.500 0.743
2 Er 0.500 0.000 0.257
3 Rh 0.500 0.000 0.867
4 Rh 0.000 0.000 0.500
5 Rh 0.000 0.500 0.133
6 Ga 0.500 0.500 0.000
7 Ga 0.000 0.500 0.367
8 Ga 0.500 0.000 0.633
9 Ga 0.000 0.000 0.000
10 Pt 0.500 0.500 0.500

Values from the calculation:
formation energy	-0.82	eV/atom
size of the total moment	0.00	μB per cell
SG	P-4m2, No. 115

***

Q: size of the total moment of number 3 (YZr2HPb)?
A: 0.00 μB per cell